# 1
Computed, not measured: an optimized crystal structure of Rb2NaGeB at the PBE level of DFT.

Lattice parameters (Å, degrees): 6.861 6.861 3.799 90.00 90.00 90.00
Sites, in units of the cell vectors:
Rb: 0.000 0.500 0.000
Rb: 0.500 0.000 0.000
Na: 0.000 0.000 0.500
Ge: 0.500 0.500 0.500
B: 0.500 0.500 0.000

Results
Total magnetic moment: 0.0 Bohr magnetons per cell
Space group: P4/mmm, No. 123
Density of states at the Fermi level: 1.7 states/eV/cell
Calculated formation energy: 366 meV per atom
Calculated total energy: -0.09347 hartree per atom
ρ: 2.6 g/cm3



# 2
Computed, not measured: an optimized crystal structure of Ce4SmU3N8 at the PBE level of DFT.

Lattice parameters (Å, degrees): 7.044 7.044 7.044 59.68 59.68 59.68
Sites, in units of the cell vectors:
Ce: 0.000 0.000 0.000
Ce: 0.000 0.500 0.500
Ce: 0.500 0.000 0.500
Ce: 0.500 0.500 0.000
Sm: 0.500 0.500 0.500
U: 0.000 0.000 0.500
U: 0.000 0.500 0.000
U: 0.500 0.000 0.000
N: 0.222 0.751 0.751
N: 0.240 0.240 0.240
N: 0.249 0.249 0.778
N: 0.249 0.778 0.249
N: 0.751 0.222 0.751
N: 0.751 0.751 0.222
N: 0.760 0.760 0.760
N: 0.778 0.249 0.249

Results
Total magnetic moment: 2.4 Bohr magnetons per cell
Space group: R-3m, No. 166
Density of states at the Fermi level: 21.1 states/eV/cell
Formation energy (no corrections): -23.28 eV per formula unit
Calculated total energy: -0.34958 hartree per atom
ρ: 10.4 g/cm3



# 3
Computed, not measured: an optimized crystal structure of GdAgBi2 at the PBE level of DFT.

Lattice parameters (Å, degrees): 5.610 5.610 5.610 55.26 55.26 55.26
Sites, in units of the cell vectors:
Gd: 0.000 0.000 0.000
Ag: 0.500 0.500 0.500
Bi: 0.241 0.241 0.241
Bi: 0.759 0.759 0.759

Results
Total magnetic moment: 7.2 Bohr magnetons per cell
Space group: R-3m, No. 166
Density of states at the Fermi level: 2.6 states/eV/cell
Calculated formation energy: -228 meV per atom
Calculated total energy: -0.23524 hartree per atom
ρ: 10.2 g/cm3